# 1
{"formula": "ZnCoN2O", "functional": "GGA+U", "state": "optimized geometry", "lattice": [[3.8666, 0.0000, 0.0000], [0.0000, 3.8666, 0.0000], [0.0000, 0.0000, 3.8498]], "species": ["Zn", "Co", "N", "N", "O"], "fractional_positions": [[0.0000, 0.0000, 0.0000], [0.5000, 0.5000, 0.5000], [0.0000, 0.5000, 0.0000], [0.5000, 0.0000, 0.0000], [0.0000, 0.0000, 0.5000]], "total_magnetization_mub_per_cell": 5.05, "total_energy_ha_per_atom": -0.1514}


# 2
{"formula": "ZnCoNO2", "functional": "GGA+U", "state": "optimized geometry", "lattice": [[3.8527, 0.0000, 0.0000], [0.0000, 3.8527, 0.0000], [0.0000, 0.0000, 3.8004]], "species": ["Zn", "Co", "N", "O", "O"], "fractional_positions": [[0.0000, 0.0000, 0.0000], [0.5000, 0.5000, 0.5000], [0.0000, 0.0000, 0.5000], [0.0000, 0.5000, 0.0000], [0.5000, 0.0000, 0.0000]], "total_magnetization_mub_per_cell": 3.21, "total_energy_ha_per_atom": -0.1534}